No. 1
An optimized crystal structure of Pr2Dy2CI5. Source: OQMD via LeMat-Bulk, functional PBE.

The structure belongs to space group C2/m (No. 12); the cell edges are 19.3637, 4.0681 and 8.8867 Å and the angles 90.00°, 102.49° and 90.00°. The distinct sites, in fractional coordinates, are Pr at (0.0012, 0.0000, 0.3041), Dy at (0.1280, 0.5000, 0.5639), C at (0.0000, 0.5000, 0.5000), I at (0.0000, 0.5000, 0.0000), I at (0.1670, 0.0000, 0.8281) and I at (0.1719, 0.0000, 0.3387).

As for the crystal system: monoclinic. For the excess energy over the best structure of this formula in the dataset, the calculation gives 0.0 meV per atom. The value obtained for the spin magnetization is 0.32 μB/f.u.

No. 2
An optimized crystal structure of PrDyCI. Source: OQMD via LeMat-Bulk, functional PBE.

The structure belongs to space group R3m (No. 160, hexagonal axes); the cell edges are 3.8295, 3.8295 and 23.0052 Å and the angles 90.00°, 90.00° and 120.00°. The distinct sites, in fractional coordinates, are Pr at (0.0000, 0.0000, 0.0000), Dy at (0.0000, 0.0000, 0.5523), C at (0.0000, 0.0000, 0.2698) and I at (0.0000, 0.0000, 0.7807).

As for the crystal system: trigonal. The value obtained for the spin magnetization is 0.01 μB/f.u. For the electronic total energy, the calculation gives -5.747 eV per atom.

No. 3
An optimized crystal structure of Pr2Dy2CI5. Source: OQMD via LeMat-Bulk, functional PBE.

The structure belongs to space group C2/m (No. 12); the cell edges are 19.0882, 4.0139 and 8.7665 Å and the angles 90.00°, 103.11° and 90.00°. The distinct sites, in fractional coordinates, are Pr at (0.1370, 0.0000, 0.0688), Dy at (0.0005, 0.5000, 0.8131), C at (0.0000, 0.0000, 0.0000), I at (0.0000, 0.0000, 0.5000), I at (0.1611, 0.5000, 0.3536) and I at (0.1660, 0.5000, 0.8070).

As for the crystal system: monoclinic. For the excess energy over the best structure of this formula in the dataset, the calculation gives 14.4 meV per atom. The value obtained for the spin magnetization is 0.02 μB/f.u.

No. 4
An optimized crystal structure of TbDyC2I2. Source: OQMD via LeMat-Bulk, functional PBE.

The structure belongs to space group Cm (No. 8); the cell edges are 7.3308, 3.9097 and 11.2709 Å and the angles 90.00°, 93.37° and 90.00°. The distinct sites, in fractional coordinates, are Tb at (0.0000, 0.0000, 0.0000), Dy at (0.2912, 0.0000, 0.2444), C at (0.0676, 0.5000, 0.1506), C at (0.2227, 0.5000, 0.0953), I at (0.3215, 0.0000, 0.8128) and I at (0.4690, 0.5000, 0.4311).

As for the crystal system: monoclinic. The value obtained for the spin magnetization is 0.00 μB/f.u. For the electronic total energy, the calculation gives -5.987 eV per atom.

No. 5
An optimized crystal structure of Dy2Tm2CI5. Source: OQMD via LeMat-Bulk, functional PBE.

The structure belongs to space group C2/m (No. 12); the cell edges are 19.2544, 3.9421 and 8.5567 Å and the angles 90.00°, 102.40° and 90.00°. The distinct sites, in fractional coordinates, are Dy at (0.9995, 0.0000, 0.1898), Tm at (0.1251, 0.5000, 0.0618), C at (0.0000, 0.5000, 0.0000), I at (0.0000, 0.5000, 0.5000), I at (0.1630, 0.0000, 0.3334) and I at (0.1661, 0.0000, 0.8279).

As for the crystal system: monoclinic. For the excess energy over the best structure of this formula in the dataset, the calculation gives 0.0 meV per atom. The value obtained for the spin magnetization is 0.23 μB/f.u.

No. 6
An optimized crystal structure of Dy2Tm2CI5. Source: OQMD via LeMat-Bulk, functional PBE.

The structure belongs to space group C2/m (No. 12); the cell edges are 19.0089, 3.9295 and 8.5452 Å and the angles 90.00°, 102.63° and 90.00°. The distinct sites, in fractional coordinates, are Dy at (0.1290, 0.0000, 0.0639), Tm at (0.9996, 0.5000, 0.1858), C at (0.0000, 0.0000, 0.0000), I at (0.0000, 0.0000, 0.5000), I at (0.1615, 0.5000, 0.3418) and I at (0.1655, 0.5000, 0.8183).

As for the crystal system: monoclinic. For the excess energy over the best structure of this formula in the dataset, the calculation gives 6.2 meV per atom. The value obtained for the spin magnetization is 0.03 μB/f.u.

No. 7
An optimized crystal structure of DyYC2I2. Source: OQMD via LeMat-Bulk, functional PBE.

The structure belongs to space group Cm (No. 8); the cell edges are 7.3233, 3.9059 and 11.2572 Å and the angles 90.00°, 93.33° and 90.00°. The distinct sites, in fractional coordinates, are Dy at (0.0000, 0.0000, 0.0000), Y at (0.2087, 0.5000, 0.7558), C at (0.2769, 0.0000, 0.9060), C at (0.4319, 0.0000, 0.8506), I at (0.0304, 0.0000, 0.5687) and I at (0.1779, 0.5000, 0.1869).

As for the crystal system: monoclinic. The value obtained for the spin magnetization is 0.00 μB/f.u. For the electronic total energy, the calculation gives -6.291 eV per atom.

No. 8
An optimized crystal structure of DyIn3C3. Source: OQMD via LeMat-Bulk, functional PBE.

The structure belongs to space group P6_3/mmc (No. 194); the cell edges are 3.7391, 3.7391 and 19.1253 Å and the angles 90.00°, 90.00° and 120.00°. The distinct sites, in fractional coordinates, are Dy at (0.0000, 0.0000, 0.0000), In at (0.3333, 0.6667, 0.1239), In at (0.3333, 0.6667, 0.7500), C at (0.3333, 0.6667, 0.2500) and C at (0.3333, 0.6667, 0.5759).

As for the crystal system: hexagonal. The value obtained for the spin magnetization is 0.00 μB/f.u. For the electronic total energy, the calculation gives -5.246 eV per atom.

No. 9
An optimized crystal structure of Dy4InPbC2. Source: OQMD via LeMat-Bulk, functional PBE.

The structure belongs to space group P-6m2 (No. 187); the cell edges are 3.6138, 3.6138 and 16.2640 Å and the angles 90.00°, 90.00° and 120.00°. The distinct sites, in fractional coordinates, are Dy at (0.0000, 0.0000, 0.1656), Dy at (0.3333, 0.6667, 0.3317), In at (0.3333, 0.6667, 0.0000), Pb at (0.0000, 0.0000, 0.5000) and C at (0.6667, 0.3333, 0.2506).

As for the crystal system: hexagonal. The value obtained for the spin magnetization is 0.00 μB/f.u. For the electronic total energy, the calculation gives -5.848 eV per atom.

No. 10
An optimized crystal structure of Dy4InSbC2. Source: OQMD via LeMat-Bulk, functional PBE.

The structure belongs to space group P-6m2 (No. 187); the cell edges are 3.6185, 3.6185 and 15.8495 Å and the angles 90.00°, 90.00° and 120.00°. The distinct sites, in fractional coordinates, are Dy at (0.0000, 0.0000, 0.1591), Dy at (0.6667, 0.3333, 0.3292), In at (0.0000, 0.0000, 0.5000), Sb at (0.6667, 0.3333, 0.0000) and C at (0.3333, 0.6667, 0.2422).

As for the crystal system: hexagonal. The value obtained for the spin magnetization is 0.10 μB/f.u. For the electronic total energy, the calculation gives -5.978 eV per atom.

No. 11
An optimized crystal structure of Dy4InSnC2. Source: OQMD via LeMat-Bulk, functional PBE.

The structure belongs to space group P-6m2 (No. 187); the cell edges are 3.6034, 3.6034 and 16.1490 Å and the angles 90.00°, 90.00° and 120.00°. The distinct sites, in fractional coordinates, are Dy at (0.0000, 0.0000, 0.1630), Dy at (0.3333, 0.6667, 0.3306), In at (0.0000, 0.0000, 0.5000), Sn at (0.3333, 0.6667, 0.0000) and C at (0.6667, 0.3333, 0.2462).

As for the crystal system: hexagonal. The value obtained for the spin magnetization is 0.28 μB/f.u. For the electronic total energy, the calculation gives -5.908 eV per atom.

No. 12
An optimized crystal structure of DyTm3In2C2. Source: OQMD via LeMat-Bulk, functional PBE.

The structure belongs to space group P3m1 (No. 156); the cell edges are 3.5554, 3.5554 and 16.1912 Å and the angles 90.00°, 90.00° and 120.00°. The distinct sites, in fractional coordinates, are Dy at (0.0000, 0.0000, 0.0000), Tm at (0.0000, 0.0000, 0.3362), Tm at (0.3333, 0.6667, 0.4998), Tm at (0.3333, 0.6667, 0.8339), In at (0.0000, 0.0000, 0.6673), In at (0.3333, 0.6667, 0.1695), C at (0.6667, 0.3333, 0.4179) and C at (0.6667, 0.3333, 0.9162).

As for the crystal system: trigonal. The value obtained for the spin magnetization is 0.14 μB/f.u. For the electronic total energy, the calculation gives -5.670 eV per atom.

No. 13
An optimized crystal structure of DyIr3C3. Source: OQMD via LeMat-Bulk, functional PBE.

The structure belongs to space group P6_3/mmc (No. 194); the cell edges are 3.3924, 3.3924 and 18.3408 Å and the angles 90.00°, 90.00° and 120.00°. The distinct sites, in fractional coordinates, are Dy at (0.0000, 0.0000, 0.0000), Ir at (0.3333, 0.6667, 0.1290), Ir at (0.3333, 0.6667, 0.7500), C at (0.3333, 0.6667, 0.2500) and C at (0.3333, 0.6667, 0.5881).

As for the crystal system: hexagonal. The value obtained for the spin magnetization is 0.00 μB/f.u. For the electronic total energy, the calculation gives -8.141 eV per atom.

No. 14
An optimized crystal structure of KDyTmC. Source: OQMD via LeMat-Bulk, functional PBE.

The structure belongs to space group P-3m1 (No. 164); the cell edges are 3.5972, 3.5972 and 20.5246 Å and the angles 90.00°, 90.00° and 120.00°. The distinct sites, in fractional coordinates, are K at (0.3333, 0.6667, 0.2482), Dy at (0.3333, 0.6667, 0.5652), Tm at (0.3333, 0.6667, 0.9366), C at (0.0000, 0.0000, 0.0000) and C at (0.0000, 0.0000, 0.5000).

As for the crystal system: trigonal. For the excess energy over the best structure of this formula in the dataset, the calculation gives 5.0 meV per atom. The value obtained for the spin magnetization is 0.58 μB/f.u.

No. 15
An optimized crystal structure of KDyTmC. Source: OQMD via LeMat-Bulk, functional PBE.

The structure belongs to space group P-6m2 (No. 187); the cell edges are 3.5977, 3.5977 and 20.5134 Å and the angles 90.00°, 90.00° and 120.00°. The distinct sites, in fractional coordinates, are K at (0.0000, 0.0000, 0.0000), K at (0.3333, 0.6667, 0.5000), Dy at (0.0000, 0.0000, 0.3132), Tm at (0.3333, 0.6667, 0.1846) and C at (0.6667, 0.3333, 0.2473).

As for the crystal system: hexagonal. For the excess energy over the best structure of this formula in the dataset, the calculation gives 0.0 meV per atom. The value obtained for the spin magnetization is 0.05 μB/f.u.

No. 16
An optimized crystal structure of LaDyMo2C3. Source: OQMD via LeMat-Bulk, functional PBE.

The structure belongs to space group Cm (No. 8); the cell edges are 11.4126, 3.4570 and 5.8636 Å and the angles 90.00°, 105.94° and 90.00°. The distinct sites, in fractional coordinates, are La at (0.0000, 0.0000, 0.0000), Dy at (0.2792, 0.5000, 0.3514), Mo at (0.0451, 0.5000, 0.5559), Mo at (0.2390, 0.0000, 0.7857), C at (0.1201, 0.0000, 0.4404), C at (0.1714, 0.5000, 0.9087) and C at (0.3890, 0.0000, 0.6583).

As for the crystal system: monoclinic. The value obtained for the spin magnetization is 0.00 μB/f.u. For the electronic total energy, the calculation gives -8.639 eV per atom.

No. 17
An optimized crystal structure of La2DyPbC. Source: OQMD via LeMat-Bulk, functional PBE.

The structure belongs to space group P4/mmm (No. 123); the cell edges are 5.2301, 5.2301 and 4.9695 Å and the angles 90.00°, 90.00° and 90.00°. The distinct sites, in fractional coordinates, are La at (0.0000, 0.5000, 0.0000), Dy at (0.0000, 0.0000, 0.5000), Pb at (0.5000, 0.5000, 0.5000) and C at (0.0000, 0.0000, 0.0000).

As for the crystal system: tetragonal. The value obtained for the spin magnetization is 0.00 μB/f.u. For the electronic total energy, the calculation gives -5.919 eV per atom.

No. 18
An optimized crystal structure of LaDy2PbC. Source: OQMD via LeMat-Bulk, functional PBE.

The structure belongs to space group P4/mmm (No. 123); the cell edges are 4.9571, 4.9571 and 5.2007 Å and the angles 90.00°, 90.00° and 90.00°. The distinct sites, in fractional coordinates, are La at (0.0000, 0.0000, 0.0000), Dy at (0.0000, 0.5000, 0.5000), Pb at (0.5000, 0.5000, 0.0000) and C at (0.0000, 0.0000, 0.5000).

As for the crystal system: tetragonal. The value obtained for the spin magnetization is 0.01 μB/f.u. For the electronic total energy, the calculation gives -5.885 eV per atom.

No. 19
An optimized crystal structure of LaDySi2W2C. Source: OQMD via LeMat-Bulk, functional PBE.

The structure belongs to space group Cm (No. 8); the cell edges are 11.1941, 3.9288 and 7.2935 Å and the angles 90.00°, 125.68° and 90.00°. The distinct sites, in fractional coordinates, are La at (0.0000, 0.0000, 0.0000), Dy at (0.3491, 0.5000, 0.4022), Si at (0.0568, 0.5000, 0.3692), Si at (0.2894, 0.0000, 0.0300), W at (0.1286, 0.5000, 0.7752), W at (0.2145, 0.0000, 0.6152) and C at (0.4191, 0.0000, 0.6856).

As for the crystal system: monoclinic. The value obtained for the spin magnetization is 0.01 μB/f.u. For the electronic total energy, the calculation gives -8.420 eV per atom.

No. 20
An optimized crystal structure of DyLuPbC. Source: OQMD via LeMat-Bulk, functional PBE.

The structure belongs to space group P-3m1 (No. 164); the cell edges are 3.5989, 3.5989 and 15.9181 Å and the angles 90.00°, 90.00° and 120.00°. The distinct sites, in fractional coordinates, are Dy at (0.3333, 0.6667, 0.0839), Lu at (0.3333, 0.6667, 0.4198), Pb at (0.3333, 0.6667, 0.7465), C at (0.0000, 0.0000, 0.0000) and C at (0.0000, 0.0000, 0.5000).

As for the crystal system: trigonal. The value obtained for the spin magnetization is 0.00 μB/f.u. For the electronic total energy, the calculation gives -6.035 eV per atom.